Below is a relaxed SbAs2SeO crystal, with properties calculated at the PBE-GGA level.

The space group is P4/mmm (No. 123) and the conventional cell measures 4.397, 4.397 and 4.915 Å, with angles of 90.00, 90.00 and 90.00 degrees. The asymmetric unit holds Sb at (0.000, 0.000, 0.000), As at (0.000, 0.500, 0.500), Se at (0.500, 0.500, 0.000) and O at (0.500, 0.500, 0.500).

The energy above the most stable polymorph in this dataset is 0 meV/atom. As for the density of states at the Fermi level: 0.46 states/eV per atom. For the uncorrected formation energy, the calculation gives 278 meV per atom. For the total energy, the calculation gives -4.095 eV/atom.



Below is a relaxed BiIrPdO6 crystal, with properties calculated at the PBE-GGA level.

The space group is P4_2nm (No. 102) and the conventional cell measures 4.806, 4.806 and 9.939 Å, with angles of 90.00, 90.00 and 90.00 degrees. The asymmetric unit holds Bi at (0.000, 0.000, 0.000), Ir at (0.000, 0.000, 0.669), Pd at (0.000, 0.000, 0.331), O at (0.175, 0.175, 0.505), O at (0.194, 0.194, 0.821) and O at (0.213, 0.213, 0.174).

As for the density of states at the Fermi level: 0.55 states/eV per atom. For the uncorrected formation energy, the calculation gives -673 meV per atom. For the total energy, the calculation gives -5.971 eV/atom.



Below is a relaxed ScAgSn2 crystal, with properties calculated at the PBE-GGA level.

The space group is P4/mmm (No. 123) and the conventional cell measures 3.683, 3.683 and 6.680 Å, with angles of 90.00, 90.00 and 90.00 degrees. The asymmetric unit holds Sc at (0.000, 0.000, 0.000), Ag at (0.000, 0.000, 0.500) and Sn at (0.500, 0.500, 0.265).

The energy above the most stable polymorph in this dataset is 165 meV/atom. As for the density of states at the Fermi level: 0.79 states/eV per atom. For the total energy, the calculation gives -4.478 eV/atom.



Below is a relaxed Zn2CdSe crystal, with properties calculated at the PBE-GGA level.

The space group is P4mm (No. 99) and the conventional cell measures 3.693, 3.693 and 6.496 Å, with angles of 90.00, 90.00 and 90.00 degrees. The asymmetric unit holds Zn at (0.000, 0.000, 0.000), Zn at (0.500, 0.500, 0.415), Cd at (0.000, 0.000, 0.556) and Se at (0.500, 0.500, 0.026).

The energy above the most stable polymorph in this dataset is 63 meV/atom. As for the density of states at the Fermi level: 0.40 states/eV per atom. For the uncorrected formation energy, the calculation gives -35 meV per atom. For the total energy, the calculation gives -1.772 eV/atom.



Below is a relaxed ZnCdInHg2 crystal, with properties calculated at the PBE-GGA level.

The space group is P4/mmm (No. 123) and the conventional cell measures 5.281, 5.281 and 5.293 Å, with angles of 90.00, 90.00 and 90.00 degrees. The asymmetric unit holds Zn at (0.000, 0.000, 0.000), Cd at (0.500, 0.500, 0.500), In at (0.000, 0.000, 0.500) and Hg at (0.000, 0.500, 0.000).

The energy above the most stable polymorph in this dataset is 7 meV/atom. As for the density of states at the Fermi level: 0.47 states/eV per atom. For the total energy, the calculation gives -0.917 eV/atom.



Below is a relaxed K4Ac3PdO8 crystal, with properties calculated at the PBE-GGA level.

The space group is C2/m (No. 12) and the conventional cell measures 13.676, 7.192 and 7.391 Å, with angles of 90.00, 118.97 and 90.00 degrees. The asymmetric unit holds K at (0.000, 0.000, 0.000), K at (0.000, 0.500, 0.000), K at (0.250, 0.250, 0.000), Ac at (0.000, 0.000, 0.500), Ac at (0.250, 0.250, 0.500), Pd at (0.000, 0.500, 0.500), O at (0.030, 0.290, 0.339), O at (0.207, 0.000, 0.249) and O at (0.212, 0.000, 0.695).

As for the density of states at the Fermi level: 0.75 states/eV per atom. For the uncorrected formation energy, the calculation gives -2059 meV per atom. For the total energy, the calculation gives -5.907 eV/atom.



Number 1: volume 95.0 Å³/cell. Number 2: volume 229.6 Å³/cell. Number 3: volume 90.6 Å³/cell. Number 4: volume 88.6 Å³/cell. Number 5: volume 147.6 Å³/cell. Number 6: volume 636.0 Å³/cell.